## ZnAgP2 (PBE)

Data for crystalline ZnAgP2 at its relaxed geometry.

Properties
The formation energy is 31 kJ/mol of formula units. For the spin magnetization, the calculation gives 0.00 μB/f.u. As for the space-group type: P4mm (99).

a b c (Å): 3.088 3.088 7.426
angles (deg): 90.00 90.00 90.00
Positions (direct):
Ag 0.500 0.500 0.730
P 0.000 0.000 0.186
P 0.500 0.500 0.074
Zn 0.000 0.000 0.511

## Pr2YHo2Er2 (PBE)

Data for crystalline Pr2YHo2Er2 at its relaxed geometry.

Properties
The formation energy is 14 kJ/mol of formula units. For the spin magnetization, the calculation gives 0.00 μB/f.u. As for the space-group type: C2/m (12).

a b c (Å): 6.190 3.590 12.910
angles (deg): 81.96 85.52 125.42
Positions (direct):
Pr 0.857 0.716 0.785
Pr 0.143 0.284 0.215
Y 0.000 0.000 0.500
Ho 0.285 0.571 0.930
Ho 0.715 0.429 0.070
Er 0.571 0.140 0.359
Er 0.429 0.860 0.641

## Pm6SmTm2Th (PBE)

Data for crystalline Pm6SmTm2Th at its relaxed geometry.

Properties
The formation energy is 137 kJ/mol of formula units. For the spin magnetization, the calculation gives 0.00 μB/f.u. As for the space-group type: C2/c (15).

a b c (Å): 9.663 8.838 8.838
angles (deg): 115.91 93.86 93.86
Positions (direct):
Pm 0.059 0.108 0.762
Pm 0.441 0.238 0.892
Pm 0.941 0.892 0.238
Pm 0.559 0.762 0.108
Pm 0.314 0.987 0.426
Pm 0.186 0.574 0.013
Pm 0.686 0.013 0.574
Pm 0.814 0.426 0.987
Pm 0.118 0.703 0.485
Pm 0.382 0.515 0.297
Pm 0.882 0.297 0.515
Pm 0.618 0.485 0.703
Sm 0.250 0.407 0.593
Sm 0.750 0.593 0.407
Tm 0.448 0.801 0.709
Tm 0.052 0.291 0.199
Tm 0.552 0.199 0.291
Tm 0.948 0.709 0.801
Th 0.250 0.968 0.032
Th 0.750 0.032 0.968

## SiP (PBE)

Data for crystalline SiP at its relaxed geometry.

Properties
For the spin magnetization, the calculation gives 0.00 μB/f.u. As for the space-group type: R-3m (166). As for the total energy: -0.2041 hartree per atom.

a b c (Å): 3.543 3.543 24.740
angles (deg): 90.00 90.00 120.00
Positions (direct):
P 0.000 0.000 0.745
P 0.000 0.000 0.255
P 0.333 0.667 0.412
P 0.333 0.667 0.921
P 0.667 0.333 0.079
P 0.667 0.333 0.588
Si 0.000 0.000 0.453
Si 0.000 0.000 0.547
Si 0.333 0.667 0.119
Si 0.333 0.667 0.214
Si 0.667 0.333 0.786
Si 0.667 0.333 0.881

## CaBeSnSb2 (PBE)

Data for crystalline CaBeSnSb2 at its relaxed geometry.

Properties
For the spin magnetization, the calculation gives 0.00 μB/f.u. As for the space-group type: P4/mmm (123). As for the total energy: -0.0989 hartree per atom.

a b c (Å): 5.699 5.198 5.699
angles (deg): 90.00 90.00 90.00
Positions (direct):
Sb 0.000 0.000 0.500
Sb 0.500 0.000 0.000
Ca 0.000 0.000 0.000
Sn 0.500 0.500 0.500
Be 0.000 0.500 0.000

## Er2UAl (PBE)

Data for crystalline Er2UAl at its relaxed geometry.

Properties
The formation energy is 121 kJ/mol of formula units. For the spin magnetization, the calculation gives 1.83 μB/f.u. As for the space-group type: R-3m (166).

a b c (Å): 3.166 3.166 11.557
angles (deg): 82.13 82.13 60.00
Positions (direct):
U 0.000 0.000 0.000
Al 0.500 0.500 0.500
Er 0.094 0.094 0.718
Er 0.906 0.906 0.282